Here is Tl2Te2Br at its PBEsol-relaxed geometry from Alexandria. Energies are from meta-GGA SCAN.

Unit cell a=4.3378 b=4.3378 c=9.2308 alpha=103.59 beta=103.59 gamma=90.00
Atoms (fractional coordinates):
Tl1 0.5943 0.5943 0.1886
Tl2 0.4057 0.4057 0.8114
Te1 0.2500 0.7500 0.5000
Te2 0.7500 0.2500 0.5000
Br1 0.0000 0.0000 0.0000

Properties
**SG**: I4/mmm

=====

Here is TlTe2Br at its PBEsol-relaxed geometry from Alexandria. Energies are from meta-GGA SCAN.

Unit cell a=4.0691 b=4.4662 c=7.5484 alpha=107.21 beta=105.64 gamma=90.00
Atoms (fractional coordinates):
Tl1 0.0000 0.5000 0.0000
Te1 0.7316 0.7316 0.4633
Te2 0.2684 0.2684 0.5367
Br1 0.5000 0.0000 0.0000

Properties
**Distance to the lowest polymorph of the same formula**: 0.00 eV per formula unit
**SG**: Immm

=====

Here is Tl2ZnTeBr at its PBEsol-relaxed geometry from Alexandria. Energies are from meta-GGA SCAN.

Unit cell a=4.9097 b=5.6903 c=5.6903 alpha=90.00 beta=90.00 gamma=90.00
Atoms (fractional coordinates):
Tl1 0.0000 0.0000 0.5000
Tl2 0.0000 0.5000 0.0000
Te1 0.5000 0.0000 0.0000
Zn1 0.0000 0.0000 0.0000
Br1 0.5000 0.5000 0.5000

Properties
**SG**: P4/mmm

=====

Here is TeW2Br at its PBEsol-relaxed geometry from Alexandria. Energies are from meta-GGA SCAN.

Unit cell a=3.3533 b=4.0873 c=6.7467 alpha=90.00 beta=95.23 gamma=90.00
Atoms (fractional coordinates):
Te1 0.1472 0.5000 0.8227
Br1 0.5524 0.0000 0.4307
W1 0.1235 0.0000 0.0966
W2 0.6769 0.5000 0.1501

Properties
**Distance to the lowest polymorph of the same formula**: 0.00 eV per formula unit
**SG**: Pm

=====

Here is TeW2Br at its PBEsol-relaxed geometry from Alexandria. Energies are from meta-GGA SCAN.

Unit cell a=3.0859 b=3.1257 c=8.9460 alpha=90.00 beta=90.00 gamma=119.58
Atoms (fractional coordinates):
Te1 0.5000 0.0000 0.0000
Br1 0.5000 0.0000 0.5000
W1 0.0000 0.0000 0.7545
W2 0.0000 0.0000 0.2455

Properties
**Distance to the lowest polymorph of the same formula**: 3.63 eV per formula unit
**SG**: Cmmm

=====

Here is TeW2Br at its PBEsol-relaxed geometry from Alexandria. Energies are from meta-GGA SCAN.

Unit cell a=2.8715 b=4.5376 c=5.9660 alpha=90.00 beta=98.62 gamma=90.00
Atoms (fractional coordinates):
Te1 0.0000 0.5000 0.0000
Br1 0.5000 0.5000 0.5000
W1 0.3017 0.0000 0.2832
W2 0.6983 0.0000 0.7168

Properties
**Distance to the lowest polymorph of the same formula**: 3.19 eV per formula unit
**SG**: P2/m

=====

Here is TeWBr9 at its PBEsol-relaxed geometry from Alexandria. Energies are from meta-GGA SCAN.

Unit cell a=6.5928 b=9.8489 c=11.3874 alpha=90.00 beta=90.00 gamma=102.49
Atoms (fractional coordinates):
Te1 0.2340 0.4271 0.7500
Te2 0.7660 0.5729 0.2500
W1 0.3681 0.8225 0.7500
W2 0.6319 0.1775 0.2500
Br1 0.5386 0.3460 0.4017
Br2 0.4614 0.6540 0.9017
Br3 0.4614 0.6540 0.5983
Br4 0.5386 0.3460 0.0983
Br5 0.2763 0.0475 0.2500
Br6 0.7237 0.9525 0.7500
Br7 0.4694 0.6993 0.2500
Br8 0.5306 0.3007 0.7500
Br9 0.9917 0.3411 0.2500
Br10 0.0083 0.6589 0.7500
Br11 0.7404 0.0442 0.0932
Br12 0.2596 0.9558 0.5932
Br13 0.2596 0.9558 0.9068
Br14 0.7404 0.0442 0.4068
Br15 0.9733 0.7119 0.0847
Br16 0.0267 0.2881 0.5847
Br17 0.0267 0.2881 0.9153
Br18 0.9733 0.7119 0.4153

Properties
**SG**: P2_1/m

=====

Here is YTeBr2 at its PBEsol-relaxed geometry from Alexandria. Energies are from meta-GGA SCAN.

Unit cell a=3.8810 b=3.8810 c=7.4909 alpha=90.00 beta=90.00 gamma=90.00
Atoms (fractional coordinates):
Y1 0.5000 0.5000 0.7082
Te1 0.0000 0.0000 0.5309
Br1 0.0000 0.0000 0.9513
Br2 0.5000 0.5000 0.3096

Properties
**Distance to the lowest polymorph of the same formula**: 0.32 eV per formula unit
**SG**: P4mm

=====

Number 1: VASP energy -240.97 eV per cell, raw formation energy -459 meV per atom. Number 2: VASP energy -167.47 eV per cell, raw formation energy -287 meV per atom. Number 3: VASP energy -215.79 eV per cell, raw formation energy -170 meV per atom. Number 4: VASP energy -193.74 eV per cell, raw formation energy 587 meV per atom. Number 5: VASP energy -190.11 eV per cell, raw formation energy 1494 meV per atom. Number 6: VASP energy -190.55 eV per cell, raw formation energy 1385 meV per atom. Number 7: VASP energy -573.30 eV per cell, raw formation energy -416 meV per atom. Number 8: VASP energy -108.38 eV per cell, raw formation energy -1093 meV per atom.